Record 1
This record from Alexandria describes a relaxed structure of VRe2W. The functional is GGA-PBE.

Structure (POSCAR):
```
VRe2W
1.0
3.093 0.000 0.000
0.000 3.093 0.000
0.000 0.000 6.213
V Re W
1 2 1
Direct
0.000 0.000 0.000
0.500 0.500 0.240
0.500 0.500 0.760
0.000 0.000 0.500
```

Computed properties:
DFT formation energy = -158.7 meV/atom
Electronic total energy = -47.6 eV per cell
D(E_F) = 0.854 states/eV/atom

Record 2
This record from Alexandria describes a relaxed structure of V4ReW3. The functional is GGA-PBE.

Structure (POSCAR):
```
V4ReW3
1.0
3.070 0.000 0.000
0.000 3.070 0.000
0.000 0.000 12.312
V Re W
4 1 3
Direct
0.000 0.000 0.122
0.000 0.000 0.374
0.000 0.000 0.626
0.000 0.000 0.878
0.500 0.500 0.000
0.500 0.500 0.249
0.500 0.500 0.500
0.500 0.500 0.751
```

Computed properties:
DFT formation energy = -164.8 meV/atom
Electronic total energy = -89.1 eV per cell
D(E_F) = 0.515 states/eV/atom

Record 3
This record from Alexandria describes a relaxed structure of V2Re3W3. The functional is GGA-PBE.

Structure (POSCAR):
```
V2Re3W3
1.0
7.006 0.000 0.000
-3.503 6.068 0.000
0.000 0.000 2.889
V Re W
2 3 3
Direct
0.333 0.667 0.000
0.667 0.333 0.000
0.000 0.599 0.500
0.401 0.401 0.500
0.599 0.000 0.500
0.000 0.220 0.000
0.220 0.000 0.000
0.780 0.780 0.000
```

Computed properties:
DFT formation energy = 270.2 meV/atom
Electronic total energy = -92.3 eV per cell
D(E_F) = 1.268 states/eV/atom

Record 4
This record from Alexandria describes a relaxed structure of V3ReW. The functional is GGA-PBE.

Structure (POSCAR):
```
V3ReW
1.0
4.485 0.000 0.000
0.000 4.485 0.000
0.000 0.000 4.485
V Re W
3 1 1
Direct
0.000 0.000 0.500
0.000 0.500 0.000
0.500 0.000 0.000
0.500 0.500 0.500
0.000 0.000 0.000
```

Computed properties:
DFT formation energy = 1785.3 meV/atom
Electronic total energy = -43.8 eV per cell
D(E_F) = 1.496 states/eV/atom

Record 5
This record from Alexandria describes a relaxed structure of V6ReW5. The functional is GGA-PBE.

Structure (POSCAR):
```
V6ReW5
1.0
-2.169 3.076 6.538
2.169 -3.076 6.538
2.169 3.076 -6.538
V Re W
6 1 5
Direct
0.083 0.334 0.749
0.248 0.000 0.248
0.415 0.666 0.749
0.585 0.334 0.251
0.752 0.000 0.752
0.917 0.666 0.251
0.000 0.500 0.500
0.167 0.167 0.000
0.334 0.834 0.500
0.500 0.500 0.000
0.666 0.166 0.500
0.833 0.833 0.000
```

Computed properties:
DFT formation energy = -141.5 meV/atom
Electronic total energy = -133.6 eV per cell
D(E_F) = 0.738 states/eV/atom

Record 6
This record from Alexandria describes a relaxed structure of VRe2W6. The functional is GGA-PBE.

Structure (POSCAR):
```
VRe2W6
1.0
-2.186 2.652 6.661
2.186 -2.652 6.661
2.186 2.652 -6.661
V Re W
1 2 6
Direct
0.000 0.000 0.000
0.397 0.897 0.500
0.603 0.103 0.500
0.062 0.305 0.757
0.254 0.500 0.754
0.452 0.695 0.757
0.548 0.305 0.243
0.746 0.500 0.246
0.938 0.695 0.243
```

Computed properties:
DFT formation energy = 743.3 meV/atom
Electronic total energy = -105.0 eV per cell
D(E_F) = 0.786 states/eV/atom

Record 7
This record from Alexandria describes a relaxed structure of V4Re3W. The functional is GGA-PBE.

Structure (POSCAR):
```
V4Re3W
1.0
8.674 0.000 0.000
0.000 5.191 0.000
0.000 0.000 5.200
V Re W
8 6 2
Direct
0.000 0.242 0.000
0.000 0.748 0.009
0.250 0.081 0.254
0.250 0.919 0.754
0.500 0.252 0.509
0.500 0.758 0.500
0.750 0.081 0.254
0.750 0.919 0.754
0.000 0.757 0.510
0.249 0.589 0.255
0.251 0.411 0.755
0.500 0.243 0.010
0.749 0.411 0.755
0.751 0.589 0.255
0.000 0.250 0.501
0.500 0.750 0.001
```

Computed properties:
DFT formation energy = -40.7 meV/atom
Electronic total energy = -174.2 eV per cell
D(E_F) = 0.645 states/eV/atom

Record 8
This record from Alexandria describes a relaxed structure of VRe3W. The functional is GGA-PBE.

Structure (POSCAR):
```
VRe3W
1.0
4.423 0.000 0.000
0.000 4.423 0.000
0.000 0.000 4.423
V Re W
1 3 1
Direct
0.000 0.000 0.000
0.000 0.000 0.500
0.000 0.500 0.000
0.500 0.000 0.000
0.500 0.500 0.500
```

Computed properties:
DFT formation energy = 1681.6 meV/atom
Electronic total energy = -51.0 eV per cell
D(E_F) = 1.176 states/eV/atom

Record 9
This record from Alexandria describes a relaxed structure of VReW. The functional is GGA-PBE.

Structure (POSCAR):
```
VReW
1.0
2.185 -2.188 0.000
2.185 2.188 0.000
-2.157 0.000 4.646
V Re W
1 1 1
Direct
0.000 0.000 0.000
0.663 0.663 0.326
0.333 0.333 0.669
```

Computed properties:
DFT formation energy = -195.8 meV/atom
Electronic total energy = -35.1 eV per cell
D(E_F) = 0.615 states/eV/atom

Record 10
This record from Alexandria describes a relaxed structure of V2ReW8. The functional is GGA-PBE.

Structure (POSCAR):
```
V2ReW8
1.0
5.855 0.000 0.000
0.000 5.855 0.000
0.000 0.000 5.837
V Re W
2 1 8
Direct
0.000 0.500 0.000
0.500 0.000 0.000
0.000 0.000 0.500
0.270 0.270 0.259
0.270 0.270 0.741
0.270 0.730 0.259
0.270 0.730 0.741
0.730 0.270 0.259
0.730 0.270 0.741
0.730 0.730 0.259
0.730 0.730 0.741
```

Computed properties:
DFT formation energy = 1069.5 meV/atom
Electronic total energy = -122.5 eV per cell
D(E_F) = 1.402 states/eV/atom

Record 11
This record from Alexandria describes a relaxed structure of V2ReW2. The functional is GGA-PBE.

Structure (POSCAR):
```
V2ReW2
1.0
2.996 -4.019 0.000
2.996 4.019 0.000
-2.945 0.000 6.438
V Re W
4 2 4
Direct
0.140 0.766 0.804
0.234 0.860 0.196
0.766 0.140 0.804
0.860 0.234 0.196
0.323 0.677 0.500
0.677 0.323 0.500
0.220 0.220 0.631
0.327 0.327 0.068
0.673 0.673 0.932
0.780 0.780 0.369
```

Computed properties:
DFT formation energy = 279.7 meV/atom
Electronic total energy = -110.4 eV per cell
D(E_F) = 0.839 states/eV/atom

Record 12
This record from Alexandria describes a relaxed structure of V2Re2W. The functional is GGA-PBE.

Structure (POSCAR):
```
V2Re2W
1.0
6.323 -2.168 0.000
6.323 2.168 0.000
-0.370 0.000 2.667
V Re W
2 2 1
Direct
0.202 0.202 0.301
0.798 0.798 0.699
0.395 0.395 0.091
0.605 0.605 0.909
0.000 0.000 0.500
```

Computed properties:
DFT formation energy = -183.8 meV/atom
Electronic total energy = -57.0 eV per cell
D(E_F) = 0.586 states/eV/atom

Record 13
This record from Alexandria describes a relaxed structure of V4Re2W3. The functional is GGA-PBE.

Structure (POSCAR):
```
V4Re2W3
1.0
4.337 0.000 0.000
-2.168 3.756 0.000
0.000 0.000 8.057
V Re W
4 2 3
Direct
0.000 0.000 0.171
0.000 0.000 0.829
0.333 0.667 0.609
0.667 0.333 0.391
0.333 0.667 0.280
0.667 0.333 0.720
0.000 0.000 0.500
0.333 0.667 0.944
0.667 0.333 0.056
```

Computed properties:
DFT formation energy = -219.2 meV/atom
Electronic total energy = -102.2 eV per cell
D(E_F) = 0.627 states/eV/atom

Record 14
This record from Alexandria describes a relaxed structure of V6ReW. The functional is GGA-PBE.

Structure (POSCAR):
```
V6ReW
1.0
4.842 0.000 0.000
0.000 4.842 0.000
0.000 0.000 4.842
V Re W
6 1 1
Direct
0.000 0.252 0.500
0.000 0.748 0.500
0.252 0.500 0.000
0.500 0.000 0.252
0.500 0.000 0.748
0.748 0.500 0.000
0.500 0.500 0.500
0.000 0.000 0.000
```

Computed properties:
DFT formation energy = -60.1 meV/atom
Electronic total energy = -80.6 eV per cell
D(E_F) = 1.321 states/eV/atom

Record 15
This record from Alexandria describes a relaxed structure of V5ReW. The functional is GGA-PBE.

Structure (POSCAR):
```
V5ReW
1.0
3.502 0.000 0.000
0.000 3.502 0.000
0.000 0.000 8.581
V Re W
5 1 1
Direct
0.000 0.000 0.000
0.000 0.500 0.263
0.000 0.500 0.737
0.500 0.000 0.263
0.500 0.000 0.737
0.500 0.500 0.000
0.000 0.000 0.500
```

Computed properties:
DFT formation energy = 386.3 meV/atom
Electronic total energy = -68.3 eV per cell
D(E_F) = 1.077 states/eV/atom

Record 16
This record from Alexandria describes a relaxed structure of VReW. The functional is GGA-PBE.

Structure (POSCAR):
```
VReW
1.0
4.391 0.000 0.000
0.000 2.177 4.665
0.000 -2.177 4.665
V Re W
2 2 2
Direct
0.000 0.000 0.000
0.500 0.166 0.166
0.000 0.663 0.663
0.500 0.834 0.834
0.000 0.330 0.330
0.500 0.500 0.500
```

Computed properties:
DFT formation energy = -176.6 meV/atom
Electronic total energy = -70.1 eV per cell
D(E_F) = 0.532 states/eV/atom

Record 17
This record from Alexandria describes a relaxed structure of VReW. The functional is GGA-PBE.

Structure (POSCAR):
```
VReW
1.0
4.362 0.000 0.000
-2.181 3.777 0.000
0.000 0.000 2.706
V Re W
1 1 1
Direct
0.000 0.000 0.000
0.333 0.667 0.671
0.667 0.333 0.335
```

Computed properties:
DFT formation energy = -183.3 meV/atom
Electronic total energy = -35.1 eV per cell
D(E_F) = 0.462 states/eV/atom

Record 18
This record from Alexandria describes a relaxed structure of VReW. The functional is GGA-PBE.

Structure (POSCAR):
```
VReW
1.0
2.199 -4.655 0.000
2.199 4.655 0.000
0.000 0.000 4.361
V Re W
2 2 2
Direct
0.168 0.832 0.000
0.832 0.168 0.000
0.331 0.669 0.500
0.669 0.331 0.500
0.000 0.000 0.500
0.500 0.500 0.000
```

Computed properties:
DFT formation energy = -160.0 meV/atom
Electronic total energy = -70.0 eV per cell
D(E_F) = 0.584 states/eV/atom

Record 19
This record from Alexandria describes a relaxed structure of V3ReW. The functional is GGA-PBE.

Structure (POSCAR):
```
V3ReW
1.0
4.507 0.000 0.000
0.000 4.507 0.000
0.000 0.000 4.507
V Re W
3 1 1
Direct
0.000 0.000 0.500
0.000 0.500 0.000
0.500 0.000 0.000
0.000 0.000 0.000
0.500 0.500 0.500
```

Computed properties:
DFT formation energy = 1561.4 meV/atom
Electronic total energy = -44.9 eV per cell
D(E_F) = 1.587 states/eV/atom

Record 20
This record from Alexandria describes a relaxed structure of VReW3. The functional is GGA-PBE.

Structure (POSCAR):
```
VReW3
1.0
4.450 0.000 0.000
0.000 4.450 0.000
0.000 0.000 4.450
V Re W
1 1 3
Direct
0.000 0.000 0.000
0.500 0.500 0.500
0.000 0.000 0.500
0.000 0.500 0.000
0.500 0.000 0.000
```

Computed properties:
DFT formation energy = 1788.3 meV/atom
Electronic total energy = -51.5 eV per cell
D(E_F) = 0.998 states/eV/atom